{
  "formula": "NbTlAg",
  "functional": "PBE-GGA",
  "state": "relaxed",
  "lattice_angstrom": [[-1.494, 1.494, 6.725], [1.494, -1.494, 6.725], [1.494, 1.494, -6.725]],
  "species": ["Nb", "Tl", "Ag"],
  "fractional_positions": [[0.000, 0.000, 0.000], [0.330, 0.330, 0.000], [0.656, 0.656, 0.000]],
  "e_form_mev_per_atom": 354
}

---

{
  "formula": "CsAl2Sb3",
  "functional": "PBE-GGA",
  "state": "relaxed",
  "lattice_angstrom": [[3.996, -8.326, 0.000], [3.996, 8.326, 0.000], [0.000, 0.000, 6.754]],
  "species": ["Cs", "Cs", "Al", "Al", "Al", "Al", "Sb", "Sb", "Sb", "Sb", "Sb", "Sb"],
  "fractional_positions": [[0.200, 0.800, 0.750], [0.800, 0.200, 0.250], [0.314, 0.314, 0.000], [0.314, 0.314, 0.500], [0.686, 0.686, 0.000], [0.686, 0.686, 0.500], [0.071, 0.290, 0.750], [0.290, 0.071, 0.250], [0.400, 0.600, 0.250], [0.600, 0.400, 0.750], [0.710, 0.929, 0.750], [0.929, 0.710, 0.250]],
  "formation_energy_uncorrected_mev_per_atom": -236
}

---

{
  "formula": "KFe2NiI8",
  "functional": "PBE-GGA",
  "state": "relaxed",
  "lattice_angstrom": [[5.833, -4.008, 0.000], [5.833, 4.008, 0.000], [-0.981, 0.000, 10.160]],
  "species": ["K", "Fe", "Fe", "Ni", "I", "I", "I", "I", "I", "I", "I", "I"],
  "fractional_positions": [[0.000, 0.000, 0.000], [0.376, 0.376, 0.712], [0.624, 0.624, 0.288], [0.000, 0.000, 0.500], [0.231, 0.231, 0.506], [0.232, 0.746, 0.304], [0.254, 0.768, 0.696], [0.307, 0.307, 0.941], [0.693, 0.693, 0.059], [0.746, 0.232, 0.304], [0.768, 0.254, 0.696], [0.769, 0.769, 0.494]],
  "formation_energy_uncorrected_mev_per_atom": -328
}

---

{
  "formula": "MnCuSiPt",
  "functional": "PBE-GGA",
  "state": "relaxed",
  "lattice_angstrom": [[0.000, 3.010, 3.010], [3.010, 0.000, 3.010], [3.010, 3.010, 0.000]],
  "species": ["Mn", "Cu", "Si", "Pt"],
  "fractional_positions": [[0.000, 0.000, 0.000], [0.750, 0.750, 0.750], [0.500, 0.500, 0.500], [0.250, 0.250, 0.250]],
  "formation_energy_uncorrected_mev_per_atom": -247
}

---

{
  "formula": "KSn6Hg2",
  "functional": "PBE-GGA",
  "state": "relaxed",
  "lattice_angstrom": [[4.819, 0.000, 0.000], [0.000, 4.819, 0.000], [0.000, 0.000, 11.416]],
  "species": ["K", "Sn", "Sn", "Sn", "Sn", "Sn", "Sn", "Hg", "Hg"],
  "fractional_positions": [[0.000, 0.000, 0.000], [0.000, 0.000, 0.500], [0.000, 0.500, 0.296], [0.000, 0.500, 0.704], [0.500, 0.000, 0.296], [0.500, 0.000, 0.704], [0.500, 0.500, 0.500], [0.500, 0.500, 0.125], [0.500, 0.500, 0.875]],
  "e_form_mev_per_atom": -44
}

---

{
  "formula": "K2RbThBr8",
  "functional": "PBE-GGA",
  "state": "relaxed",
  "lattice_angstrom": [[6.284, 0.000, 0.000], [-0.021, 7.953, 0.000], [-0.082, -0.010, 10.392]],
  "species": ["K", "K", "Rb", "Th", "Br", "Br", "Br", "Br", "Br", "Br", "Br", "Br"],
  "fractional_positions": [[0.003, 0.000, 0.274], [0.997, 0.000, 0.726], [0.500, 0.500, 0.000], [0.500, 0.500, 0.500], [0.249, 0.368, 0.293], [0.254, 0.363, 0.705], [0.259, 0.992, 0.000], [0.272, 0.809, 0.502], [0.728, 0.191, 0.498], [0.741, 0.008, 0.000], [0.746, 0.637, 0.295], [0.751, 0.632, 0.707]],
  "formation_energy_uncorrected_mev_per_atom": -1580
}

---

{
  "formula": "Na4AlGa3O8",
  "functional": "PBE-GGA",
  "state": "relaxed",
  "lattice_angstrom": [[2.993, 1.728, 5.398], [-2.993, 1.728, 5.398], [0.000, -3.456, 5.398]],
  "species": ["Na", "Na", "Na", "Na", "Al", "Ga", "Ga", "Ga", "O", "O", "O", "O", "O", "O", "O", "O"],
  "fractional_positions": [[0.000, 0.000, 0.000], [0.000, 0.500, 0.500], [0.500, 0.000, 0.500], [0.500, 0.500, 0.000], [0.500, 0.500, 0.500], [0.000, 0.000, 0.500], [0.000, 0.500, 0.000], [0.500, 0.000, 0.000], [0.233, 0.233, 0.233], [0.241, 0.727, 0.727], [0.273, 0.273, 0.759], [0.273, 0.759, 0.273], [0.727, 0.241, 0.727], [0.727, 0.727, 0.241], [0.759, 0.273, 0.273], [0.767, 0.767, 0.767]],
  "formation_energy_uncorrected_mev_per_atom": -1986
}

---

{
  "formula": "SrGe2Pt",
  "functional": "PBE-GGA",
  "state": "relaxed",
  "lattice_angstrom": [[-2.465, 2.465, 8.565], [2.465, -2.465, 8.565], [2.465, 2.465, -8.565]],
  "species": ["Sr", "Sr", "Ge", "Ge", "Ge", "Ge", "Pt", "Pt"],
  "fractional_positions": [[0.000, 0.000, 0.000], [0.750, 0.250, 0.500], [0.316, 0.625, 0.191], [0.375, 0.566, 0.691], [0.434, 0.125, 0.809], [0.875, 0.684, 0.309], [0.250, 0.750, 0.500], [0.500, 0.500, 0.000]],
  "e_form_mev_per_atom": -463
}

---

{
  "formula": "HfVCo2",
  "functional": "PBE-GGA",
  "state": "relaxed",
  "lattice_angstrom": [[2.000, 1.155, 4.132], [-2.000, 1.155, 4.132], [0.000, -2.309, 4.132]],
  "species": ["Hf", "V", "Co", "Co"],
  "fractional_positions": [[0.000, 0.000, 0.000], [0.500, 0.500, 0.500], [0.217, 0.217, 0.217], [0.783, 0.783, 0.783]],
  "e_form_mev_per_atom": -175
}